# PBE CaScPtRh, relaxed
data_CaScPtRh
_chemical_formula_sum 'Ca4 Sc4 Pt4 Rh4'
_symmetry_space_group_name_H-M 'F -4 3 m'
_symmetry_Int_Tables_number 216
_symmetry_space_group_name_Hall 'F -4 2 3'
_cell_length_a 6.6872
_cell_length_b 6.6872
_cell_length_c 6.6872
_cell_angle_alpha 90.00
_cell_angle_beta 90.00
_cell_angle_gamma 90.00
loop_
_atom_site_label
_atom_site_fract_x
_atom_site_fract_y
_atom_site_fract_z
Ca1 0.0000 0.0000 0.0000
Sc1 0.0000 0.0000 0.5000
Pt1 0.2500 0.2500 0.7500
Rh1 0.2500 0.2500 0.2500
# DOS(E_F) in states/eV per atom: 0.720
# Calculated total energy in eV per atom: -6.24

# PBE KFeHgN2, relaxed
data_KFeHgN2
_chemical_formula_sum 'K1 Fe1 Hg1 N2'
_symmetry_space_group_name_H-M 'P 4/m m m'
_symmetry_Int_Tables_number 123
_symmetry_space_group_name_Hall '-P 4 2'
_cell_length_a 3.9560
_cell_length_b 3.9560
_cell_length_c 5.1025
_cell_angle_alpha 90.00
_cell_angle_beta 90.00
_cell_angle_gamma 90.00
loop_
_atom_site_label
_atom_site_fract_x
_atom_site_fract_y
_atom_site_fract_z
K1 0.0000 0.0000 0.0000
Fe1 0.5000 0.5000 0.5000
Hg1 0.5000 0.5000 0.0000
N1 0.0000 0.5000 0.5000
# DOS(E_F) in states/eV per atom: 0.965
# Uncorrected formation energy in eV/f.u.: 4.5

# PBE PrNd5Zn6, relaxed
data_PrNd5Zn6
_chemical_formula_sum 'Pr1 Nd5 Zn6'
_symmetry_space_group_name_H-M 'P 1 2/m 1'
_symmetry_Int_Tables_number 10
_symmetry_space_group_name_Hall '-P 2y'
_cell_length_a 5.2096
_cell_length_b 7.3941
_cell_length_c 8.2409
_cell_angle_alpha 90.00
_cell_angle_beta 108.23
_cell_angle_gamma 90.00
loop_
_atom_site_label
_atom_site_fract_x
_atom_site_fract_y
_atom_site_fract_z
Pr1 0.0000 0.0000 0.0000
Nd1 0.0000 0.5000 0.0000
Nd2 0.3331 0.0000 0.6662
Nd3 0.3336 0.5000 0.6673
Zn1 0.1674 0.2510 0.3348
Zn2 0.5000 0.2513 0.0000
# DOS(E_F) in states/eV per atom: 1.143
# Calculated total energy in eV per atom: -3.33

# PBE CsPOs3, relaxed
data_CsPOs3
_chemical_formula_sum 'Cs1 P1 Os3'
_symmetry_space_group_name_H-M 'P m -3 m'
_symmetry_Int_Tables_number 221
_symmetry_space_group_name_Hall '-P 4 2 3'
_cell_length_a 4.6010
_cell_length_b 4.6010
_cell_length_c 4.6010
_cell_angle_alpha 90.00
_cell_angle_beta 90.00
_cell_angle_gamma 90.00
loop_
_atom_site_label
_atom_site_fract_x
_atom_site_fract_y
_atom_site_fract_z
Cs1 0.0000 0.0000 0.0000
P1 0.5000 0.5000 0.5000
Os1 0.0000 0.5000 0.5000
# DOS(E_F) in states/eV per atom: 1.254
# Energy above the most stable polymorph in this dataset in eV per formula unit: 0.00

# PBE Tb2NdMg, relaxed
data_Tb2NdMg
_chemical_formula_sum 'Tb8 Nd4 Mg4'
_symmetry_space_group_name_H-M 'I 4/m m m'
_symmetry_Int_Tables_number 139
_symmetry_space_group_name_Hall '-I 4 2'
_cell_length_a 5.1580
_cell_length_b 5.1580
_cell_length_c 18.4683
_cell_angle_alpha 90.00
_cell_angle_beta 90.00
_cell_angle_gamma 90.00
loop_
_atom_site_label
_atom_site_fract_x
_atom_site_fract_y
_atom_site_fract_z
Tb1 0.0000 0.0000 0.1346
Tb2 0.0000 0.5000 0.0000
Nd1 0.0000 0.0000 0.3681
Mg1 0.0000 0.5000 0.2500
# DOS(E_F) in states/eV per atom: 1.065
# Energy above the most stable polymorph in this dataset in eV per formula unit: 0.00

# PBE LiTl5Sn2, relaxed
data_LiTl5Sn2
_chemical_formula_sum 'Li4 Tl20 Sn8'
_symmetry_space_group_name_H-M 'C m c m'
_symmetry_Int_Tables_number 63
_symmetry_space_group_name_Hall '-C 2c 2'
_cell_length_a 4.7964
_cell_length_b 11.3071
_cell_length_c 16.7319
_cell_angle_alpha 90.00
_cell_angle_beta 90.00
_cell_angle_gamma 90.00
loop_
_atom_site_label
_atom_site_fract_x
_atom_site_fract_y
_atom_site_fract_z
Li1 0.0000 0.1890 0.2500
Tl1 0.0000 0.0435 0.1047
Tl2 0.0000 0.3519 0.0354
Tl3 0.0000 0.4593 0.2500
Sn1 0.0000 0.2462 0.6588
# DOS(E_F) in states/eV per atom: 0.394
# Calculated total energy in eV per atom: -2.75

# PBE MgTlAu3, relaxed
data_MgTlAu3
_chemical_formula_sum 'Mg1 Tl1 Au3'
_symmetry_space_group_name_H-M 'P m -3 m'
_symmetry_Int_Tables_number 221
_symmetry_space_group_name_Hall '-P 4 2 3'
_cell_length_a 5.2671
_cell_length_b 5.2671
_cell_length_c 5.2671
_cell_angle_alpha 90.00
_cell_angle_beta 90.00
_cell_angle_gamma 90.00
loop_
_atom_site_label
_atom_site_fract_x
_atom_site_fract_y
_atom_site_fract_z
Mg1 0.0000 0.0000 0.0000
Tl1 0.5000 0.5000 0.5000
Au1 0.0000 0.5000 0.5000
# DOS(E_F) in states/eV per atom: 0.442
# Energy above the most stable polymorph in this dataset in eV per formula unit: 1.83

# PBE SrSiAg, relaxed
data_SrSiAg
_chemical_formula_sum 'Sr2 Si2 Ag2'
_symmetry_space_group_name_H-M 'I m m 2'
_symmetry_Int_Tables_number 44
_symmetry_space_group_name_Hall 'I 2 -2'
_cell_length_a 3.5693
_cell_length_b 4.7998
_cell_length_c 8.8220
_cell_angle_alpha 90.00
_cell_angle_beta 90.00
_cell_angle_gamma 90.00
loop_
_atom_site_label
_atom_site_fract_x
_atom_site_fract_y
_atom_site_fract_z
Sr1 0.0000 0.0000 0.0000
Si1 0.0000 0.0000 0.3488
Ag1 0.0000 0.0000 0.6492
# DOS(E_F) in states/eV per atom: 0.469
# Uncorrected formation energy in eV/f.u.: 0.2

# PBE Be3TlIr, relaxed
data_Be3TlIr
_chemical_formula_sum 'Be3 Tl1 Ir1'
_symmetry_space_group_name_H-M 'P m -3 m'
_symmetry_Int_Tables_number 221
_symmetry_space_group_name_Hall '-P 4 2 3'
_cell_length_a 4.3482
_cell_length_b 4.3482
_cell_length_c 4.3482
_cell_angle_alpha 90.00
_cell_angle_beta 90.00
_cell_angle_gamma 90.00
loop_
_atom_site_label
_atom_site_fract_x
_atom_site_fract_y
_atom_site_fract_z
Be1 0.0000 0.0000 0.5000
Tl1 0.5000 0.5000 0.5000
Ir1 0.0000 0.0000 0.0000
# DOS(E_F) in states/eV per atom: 0.294
# Energy above the most stable polymorph in this dataset in eV per formula unit: 0.00